No. 1
A plane-wave DFT calculation with PBE-GGA was carried out for a geometry-optimized BaLaIn2Co structure.

Lattice parameters (Å, degrees): 5.319 5.319 5.034 90.00 90.00 90.00
Element x y z (fractional)
In1 0.000 0.500 0.000
Ba1 0.500 0.500 0.500
La1 0.000 0.000 0.500
In2 0.500 0.000 0.000
Co1 0.000 0.000 0.000

Properties
M_tot: 0.00 μB/f.u.
Formation energy: -1.40 eV per formula unit
V: 28.483 Å³ per atom

***

No. 2
A plane-wave DFT calculation with PBE-GGA was carried out for a geometry-optimized NaErHg3 structure.

Lattice parameters (Å, degrees): 6.220 5.305 9.856 105.61 124.38 90.00
Element x y z (fractional)
Na1 0.498 0.194 0.387
Er1 0.183 0.397 0.794
Hg1 0.702 0.411 0.822
Hg2 0.771 0.012 0.023
Na2 0.502 0.806 0.613
Hg3 0.033 0.212 0.424
Hg4 0.967 0.788 0.576
Er2 0.817 0.603 0.206
Hg5 0.229 0.988 0.977
Hg6 0.298 0.589 0.178

Properties
M_tot: 0.00 μB/f.u.
Formation energy: -1.32 eV per formula unit
V: 25.371 Å³ per atom

***

No. 3
A plane-wave DFT calculation with PBE-GGA was carried out for a geometry-optimized CaScBi2H structure.

Lattice parameters (Å, degrees): 5.214 4.237 5.214 90.00 90.00 90.00
Element x y z (fractional)
Ca1 0.000 0.500 0.000
Bi1 0.000 0.000 0.500
H1 0.000 0.000 0.000
Sc1 0.500 0.500 0.500
Bi2 0.500 0.000 0.000

Properties
M_tot: 0.00 μB/f.u.
V: 23.041 Å³ per atom
Final energy: -20.7 eV/cell

***

No. 4
A plane-wave DFT calculation with PBE-GGA was carried out for a geometry-optimized Ba6Rh2Br3Cl structure.

Lattice parameters (Å, degrees): 4.544 9.925 10.669 106.10 102.29 90.00
Element x y z (fractional)
Rh1 0.162 0.329 0.325
Rh2 0.838 0.671 0.675
Ba1 0.677 0.563 0.353
Ba2 0.671 0.121 0.341
Br1 0.158 0.836 0.315
Ba3 0.323 0.437 0.647
Br2 0.500 0.500 0.000
Ba4 0.020 0.255 0.039
Br3 0.842 0.164 0.685
Cl1 0.500 0.000 0.000
Ba5 0.980 0.745 0.961
Ba6 0.329 0.879 0.659

Properties
M_tot: 0.00 μB/f.u.
Formation energy (no corrections): -1234 meV/atom
V: 37.563 Å³ per atom

***

No. 5
A plane-wave DFT calculation with PBE-GGA was carried out for a geometry-optimized Pu2Se2Br structure.

Lattice parameters (Å, degrees): 3.967 7.761 8.802 90.00 103.02 90.00
Each line ends with the local moment (μB).
Element x y z (fractional)
Br1 0.367 0.407 0.734  -0.02
Se1 0.034 0.242 0.068  0.07
Pu1 0.209 0.158 0.418  5.42
Se2 0.821 0.033 0.642  -0.03
Se3 0.179 0.533 0.358  -0.03
Pu2 0.546 0.525 0.092  -5.27
Pu3 0.791 0.658 0.582  5.42
Pu4 0.454 0.025 0.908  -5.27
Se4 0.966 0.742 0.932  0.07
Br2 0.633 0.907 0.266  -0.02

Properties
M_tot: 0.27 μB/f.u.
Formation energy (no corrections): -1409 meV/atom
V: 26.400 Å³ per atom

***

No. 6
A plane-wave DFT calculation with PBE-GGA was carried out for a geometry-optimized NaSrGe structure.

Lattice parameters (Å, degrees): 4.188 4.188 5.816 111.10 111.10 90.00
Element x y z (fractional)
Sr1 0.960 0.960 0.921
Na1 0.268 0.268 0.536
Ge1 0.622 0.622 0.244

Properties
M_tot: 0.00 μB/f.u.
Formation energy: -0.46 eV per formula unit
V: 29.261 Å³ per atom

***

No. 7
A plane-wave DFT calculation with PBE-GGA was carried out for a geometry-optimized Pu2RhN structure.

Lattice parameters (Å, degrees): 5.851 7.022 8.425 111.89 107.13 97.27
Each line ends with the local moment (μB).
Element x y z (fractional)
N1 0.878 0.128 0.257  -0.19
Pu1 0.438 0.175 0.916  5.10
Pu2 0.309 0.642 0.604  5.04
Rh1 0.876 0.626 0.253  -0.32
N2 0.666 0.916 0.832  -0.21
Pu3 0.691 0.358 0.396  5.04
Pu4 0.795 0.961 0.604  5.04
Pu5 0.978 0.741 0.916  5.10
Rh2 0.124 0.374 0.747  -0.32
Pu6 0.022 0.259 0.084  5.10
Pu7 0.562 0.825 0.084  5.10
Rh3 0.395 0.645 0.290  -0.35
N3 0.334 0.084 0.168  -0.21
N4 0.122 0.872 0.743  -0.19
Rh4 0.605 0.355 0.710  -0.35
Pu8 0.205 0.039 0.396  5.04

Properties
M_tot: 10.15 μB/f.u.
Formation energy (no corrections): -734 meV/atom
V: 18.488 Å³ per atom

***

No. 8
A plane-wave DFT calculation with PBE-GGA was carried out for a geometry-optimized TePd2PbAu structure.

Lattice parameters (Å, degrees): 5.059 5.855 5.059 90.00 90.00 90.00
Element x y z (fractional)
Pd1 0.500 0.000 0.000
Au1 0.500 0.500 0.500
Pd2 0.000 0.000 0.500
Te1 0.000 0.500 0.000
Pb1 0.000 0.000 0.000

Properties
M_tot: 0.00 μB/f.u.
Formation energy (no corrections): 881 meV/atom
V: 29.970 Å³ per atom

***

No. 9
A plane-wave DFT calculation with PBE-GGA was carried out for a geometry-optimized NiIr2Rh structure.

Lattice parameters (Å, degrees): 2.673 2.673 9.063 90.00 90.00 119.77
Each line ends with the local moment (μB).
Element x y z (fractional)
Ni1 0.500 0.500 0.250  0.28
Rh1 0.500 0.500 0.750  0.00
Ir1 0.000 0.000 0.010  0.08
Ir2 0.000 0.000 0.490  0.08

Properties
M_tot: 0.43 μB/f.u.
Formation energy: 0.97 eV per formula unit
V: 14.055 Å³ per atom

***

No. 10
A plane-wave DFT calculation with PBE-GGA was carried out for a geometry-optimized YZn2Br structure.

Lattice parameters (Å, degrees): 8.354 8.354 6.544 50.34 50.34 90.00
Element x y z (fractional)
Y1 0.750 0.250 0.500
Br1 0.500 0.500 0.000
Zn1 0.875 0.878 0.750
Zn2 0.628 0.125 0.250
Br2 0.250 0.750 0.500
Y2 0.000 0.000 0.000
Zn3 0.375 0.372 0.750
Zn4 0.122 0.625 0.250

Properties
M_tot: 0.00 μB/f.u.
Formation energy (no corrections): -233 meV/atom
V: 24.577 Å³ per atom

***

No. 11
A plane-wave DFT calculation with PBE-GGA was carried out for a geometry-optimized Sc2OF3 structure.

Lattice parameters (Å, degrees): 3.987 6.878 6.878 120.00 90.00 90.00
Each line ends with the local moment (μB).
Element x y z (fractional)
Sc1 0.000 0.000 0.500  0.35
F1 0.230 0.157 0.314  0.01
F2 0.230 0.686 0.843  0.01
Sc2 0.000 0.500 0.000  0.35
F3 0.770 0.843 0.157  0.01
F4 0.770 0.314 0.157  0.01
O1 0.163 0.667 0.333  -0.01
O2 0.837 0.333 0.667  -0.01
Sc3 0.000 0.500 0.500  0.35
F5 0.770 0.843 0.686  0.01
Sc4 0.000 0.000 0.000  0.39
F6 0.230 0.157 0.843  0.01

Properties
M_tot: 1.01 μB/f.u.
Formation energy (no corrections): -3330 meV/atom
V: 13.611 Å³ per atom

***

No. 12
A plane-wave DFT calculation with PBE-GGA was carried out for a geometry-optimized K4BiO structure.

Lattice parameters (Å, degrees): 7.494 11.135 7.941 113.72 91.58 129.31
Each line ends with the local moment (μB).
Element x y z (fractional)
O1 0.280 0.030 0.060  0.11
Bi1 0.402 0.652 0.304  0.52
K1 0.986 0.814 0.186  0.00
K2 0.592 0.045 0.244  0.00
K3 0.014 0.186 0.814  0.00
O2 0.720 0.970 0.940  0.11
K4 0.848 0.800 0.756  0.00
K5 0.152 0.200 0.244  0.00
K6 0.301 0.628 0.814  0.00
K7 0.699 0.372 0.186  0.00
Bi2 0.598 0.348 0.696  0.52
K8 0.408 0.955 0.756  0.00

Properties
M_tot: 1.06 μB/f.u.
Formation energy (no corrections): -592 meV/atom
V: 35.870 Å³ per atom

***

No. 13
A plane-wave DFT calculation with PBE-GGA was carried out for a geometry-optimized InAs3O structure.

Lattice parameters (Å, degrees): 4.512 4.512 4.512 90.00 90.00 90.00
Element x y z (fractional)
As1 0.500 0.000 0.000
In1 0.500 0.500 0.500
As2 0.000 0.000 0.500
O1 0.000 0.000 0.000
As3 0.000 0.500 0.000

Properties
M_tot: 0.00 μB/f.u.
Formation energy (no corrections): 233 meV/atom
V: 18.369 Å³ per atom